Entry 1:
A geometry-optimized BeZn2Au4 structure, computed with GGA-PBE.

Results
The calculation puts the total energy at -20.12 eV for the cell shown. Its crystal system is trigonal.

Cell lengths 4.3990, 4.3990, 7.4544 Å; angles 72.84, 72.84, 60.00 degrees
Closest atoms and distances in Å follow each position.
Sites, in units of the cell vectors:
Zn 0.7551 0.7551 0.7346  8 Au 2.62-2.75
Zn 0.2449 0.2449 0.2654  8 Au 2.62-2.75
Au 0.1190 0.1190 0.6429  1 Be 2.50, 4 Zn 2.62-2.65
Au 0.8810 0.8810 0.3571  1 Be 2.50, 4 Zn 2.62-2.65
Au 0.3722 0.3722 0.8834  3 Be 2.67, 4 Zn 2.68-2.75
Au 0.6278 0.6278 0.1166  3 Be 2.67, 4 Zn 2.68-2.75
Be 0.0000 0.0000 0.0000  8 Au 2.50-2.67

Entry 2:
A geometry-optimized AcNd2 structure, computed with GGA-PBE.

Results
The value obtained for the offset from the most stable computed form is 71 meV per atom. Its crystal system is orthorhombic.

Cell lengths 4.4050, 4.4050, 6.6758 Å; angles 109.29, 109.29, 89.87 degrees
Closest atoms and distances in Å follow each position.
Sites, in units of the cell vectors:
Nd 0.8199 0.8199 0.6396  4 Nd 3.52-3.53, 5 Ac 3.77-3.78
Nd 0.1801 0.1801 0.3604  4 Nd 3.52-3.53, 5 Ac 3.77-3.78
Ac 0.5000 0.5000 0.0000  10 Nd 3.77-3.78

Entry 3:
A geometry-optimized TlPtAu2 structure, computed with GGA-PBE.

Results
The value obtained for the offset from the most stable computed form is 59 meV per atom. Its crystal system is tetragonal.

Cell lengths 3.2733, 3.2733, 7.4254 Å; angles 90.00, 90.00, 90.00 degrees
Closest atoms and distances in Å follow each position.
Sites, in units of the cell vectors:
Tl 0.5000 0.5000 0.7500  8 Au 3.13, 4 Tl 3.27
Au 0.0000 0.0000 0.0345  4 Pt 2.81, 4 Tl 3.13
Au 0.0000 0.0000 0.4655  4 Pt 2.81, 4 Tl 3.13
Pt 0.5000 0.5000 0.2500  8 Au 2.81

Entry 4:
A geometry-optimized Ca2ScAgPt structure, computed with GGA-PBE.

Results
The calculation puts the total energy at -14.56 eV for the cell shown. Its crystal system is tetragonal.

Cell lengths 5.6782, 4.7950, 5.6782 Å; angles 90.00, 90.00, 90.00 degrees
Closest atoms and distances in Å follow each position.
Sites, in units of the cell vectors:
Sc 0.0000 0.0000 0.0000  2 Ag 2.40
Ca 0.0000 0.0000 0.5000  2 Sc 2.84
Ca 0.5000 0.0000 0.0000  2 Sc 2.84
Ag 0.0000 0.5000 0.0000  2 Sc 2.40
Pt 0.5000 0.5000 0.5000  8 Ca 3.72, 4 Ag 4.02

Entry 5:
A geometry-optimized AcSm2Zn4 structure, computed with GGA-PBE.

Results
The calculation puts the total energy at -19.27 eV for the cell shown. Its crystal system is tetragonal.

Cell lengths 5.0921, 5.0921, 8.3958 Å; angles 107.65, 107.65, 90.00 degrees
Closest atoms and distances in Å follow each position.
Sites, in units of the cell vectors:
Ac 0.0000 0.0000 0.0000  8 Zn 3.25
Zn 0.6334 0.1334 0.2667  4 Sm 3.03-3.17, 2 Ac 3.25
Zn 0.3666 0.8666 0.7333  4 Sm 3.03-3.17, 2 Ac 3.25
Zn 0.8666 0.3666 0.7333  4 Sm 3.03-3.17, 2 Ac 3.25
Zn 0.1334 0.6334 0.2667  4 Sm 3.03-3.17, 2 Ac 3.25
Sm 0.2580 0.2580 0.5161  8 Zn 3.03-3.17
Sm 0.7420 0.7420 0.4839  8 Zn 3.03-3.17

Entry 6:
A geometry-optimized YbGa7Au3 structure, computed with GGA-PBE.

Results
The calculation puts the total energy at -73.09 eV for the cell shown. Its crystal system is trigonal.

Cell lengths 8.5436, 8.5436, 8.5436 Å; angles 57.87, 57.87, 57.87 degrees
Closest atoms and distances in Å follow each position.
Sites, in units of the cell vectors:
Au 0.5672 0.2500 0.9328  7 Ga 2.62-2.71
Au 0.0672 0.4328 0.7500  7 Ga 2.62-2.71
Au 0.2500 0.9328 0.5672  7 Ga 2.62-2.71
Au 0.4328 0.7500 0.0672  7 Ga 2.62-2.71
Au 0.9328 0.5672 0.2500  7 Ga 2.62-2.71
Au 0.7500 0.0672 0.4328  7 Ga 2.62-2.71
Yb 0.5000 0.5000 0.5000  12 Ga 3.31-3.44, 6 Au 3.33
Yb 0.0000 0.0000 0.0000  12 Ga 3.31-3.44, 6 Au 3.33
Ga 0.8528 0.0725 0.6706  3 Au 2.63-2.71, 3 Ga 2.83-2.88
Ga 0.6472 0.8294 0.4275  3 Au 2.63-2.71, 3 Ga 2.83-2.88
Ga 0.5725 0.3528 0.1706  3 Au 2.63-2.71, 3 Ga 2.83-2.88
Ga 0.3294 0.1472 0.9275  3 Au 2.63-2.71, 3 Ga 2.83-2.88
Ga 0.9275 0.3294 0.1472  3 Au 2.63-2.71, 3 Ga 2.83-2.88
Ga 0.7500 0.7500 0.7500  3 Au 2.62
Ga 0.8294 0.4275 0.6472  3 Au 2.63-2.71, 3 Ga 2.83-2.88
Ga 0.6706 0.8528 0.0725  3 Au 2.63-2.71, 3 Ga 2.83-2.88
Ga 0.0725 0.6706 0.8528  3 Au 2.63-2.71, 3 Ga 2.83-2.88
Ga 0.1472 0.9275 0.3294  3 Au 2.63-2.71, 3 Ga 2.83-2.88
Ga 0.2500 0.2500 0.2500  3 Au 2.62
Ga 0.3528 0.1706 0.5725  3 Au 2.63-2.71, 3 Ga 2.83-2.88
Ga 0.4275 0.6472 0.8294  3 Au 2.63-2.71, 3 Ga 2.83-2.88
Ga 0.1706 0.5725 0.3528  3 Au 2.63-2.71, 3 Ga 2.83-2.88

Entry 7:
A geometry-optimized Rb3Er3AlTe8 structure, computed with GGA-PBE.

Results
The calculation puts the uncorrected formation energy at -1096 meV per atom. Its crystal system is monoclinic.

Cell lengths 8.6460, 8.6556, 10.2064 Å; angles 115.10, 90.01, 119.99 degrees
Closest atoms and distances in Å follow each position.
Sites, in units of the cell vectors:
Te 0.2526 0.0323 0.3121  1 Al 2.89, 2 Er 3.06-3.07
Te 0.7474 0.9677 0.6879  1 Al 2.89, 2 Er 3.06-3.07
Te 0.2202 0.9676 0.6878  1 Al 2.89, 2 Er 3.06-3.07
Te 0.7334 0.4669 0.7000  3 Er 3.07
Te 0.2666 0.5331 0.3000  3 Er 3.07
Te 0.7798 0.0324 0.3122  1 Al 2.89, 2 Er 3.06-3.07
Te 0.2199 0.4399 0.6876  1 Al 2.89, 2 Er 3.06
Te 0.7801 0.5601 0.3124  1 Al 2.89, 2 Er 3.06
Er 0.5000 0.0000 0.5000  6 Te 3.06-3.07
Er 0.0000 0.5000 0.5000  6 Te 3.06-3.07
Er 0.5000 0.5000 0.5000  6 Te 3.06-3.07
Rb 0.5000 0.5000 0.0000  6 Te 3.66-3.69
Rb 0.0000 0.5000 0.0000  6 Te 3.66-3.69
Rb 0.0000 0.0000 0.0000  6 Te 3.66-3.69
Al 0.0000 0.0000 0.5000  6 Te 2.89

Entry 8:
A geometry-optimized KReTeN2 structure, computed with GGA-PBE.

Results
The calculation puts the uncorrected formation energy at 515 meV per atom. The value obtained for the offset from the most stable computed form is 0 meV per atom. Its crystal system is tetragonal.

Cell lengths 4.0587, 4.0587, 5.6350 Å; angles 90.00, 90.00, 90.00 degrees
Closest atoms and distances in Å follow each position.
Sites, in units of the cell vectors:
N 0.5000 0.0000 0.0000  2 Re 2.03
N 0.0000 0.5000 0.0000  2 Re 2.03
Te 0.0000 0.0000 0.5000  2 Re 2.82, 4 K 2.87
K 0.5000 0.5000 0.5000  4 Te 2.87
Re 0.0000 0.0000 0.0000  4 N 2.03